Record 1
{"formula": "SrTl2Ge2S6", "functional": "GGA-PBE", "state": "optimized geometry", "volume_a3_per_cell": 359, "density_g_cm3": 3.859, "sg": "R-3m", "raw_formation_energy_kcal_per_mol_atoms": -12.827, "cell": [[3.593, 2.075, 8.024], [-3.593, 2.075, 8.024], [0.000, -4.149, 8.024]], "species": ["Sr", "Tl", "Tl", "Ge", "Ge", "S", "S", "S", "S", "S", "S"], "fractional_positions": [[0.000, 0.000, 0.000], [0.206, 0.206, 0.206], [0.794, 0.794, 0.794], [0.419, 0.419, 0.419], [0.581, 0.581, 0.581], [0.234, 0.746, 0.746], [0.254, 0.254, 0.766], [0.254, 0.766, 0.254], [0.746, 0.234, 0.746], [0.746, 0.746, 0.234], [0.766, 0.254, 0.254]]}

Record 2
{"formula": "LiHf", "functional": "GGA-PBE", "state": "optimized geometry", "e_form_ev_per_fu": 0.85, "volume_a3_per_cell": 36, "density_g_cm3": 8.467, "sg": "Pm-3m", "e_above_lowest_polymorph_kj_per_mol_atoms": 9.72, "cell": [[3.313, 0.000, 0.000], [0.000, 3.313, 0.000], [0.000, 0.000, 3.313]], "species": ["Li", "Hf"], "fractional_positions": [[0.000, 0.000, 0.000], [0.500, 0.500, 0.500]]}